## RbVOF2 (PBE+U)

Data for a relaxed RbVOF2 crystal.

Computed properties:
- Fermi-level density of states: 0.124 states/eV per atom
- Polymorph energy (0 for the lowest one): 2364 meV/atom

Cell and atoms, written as POSCAR:
```
RbVOF2
1.0
4.823 0.000 0.000
0.000 4.823 0.000
0.000 0.000 4.384
F O Rb V
2 1 1 1
direct
0.000 0.500 0.000
0.500 0.000 0.000
0.000 0.000 0.500
0.000 0.000 0.000
0.500 0.500 0.500
```